#one
The following is a PBE calculation of an optimized crystal structure of YErSe, from Alexandria via LeMat-Bulk.

Cell and atoms, written as POSCAR:
```
YErSe
1.0
3.582 0.000 0.000
0.000 3.582 0.000
-1.791 -1.791 6.100
Y Se Er
1 1 1
Direct
0.687 0.687 0.373
0.335 0.335 0.669
0.979 0.979 0.958
```

Output
Volume in A^3/atom: 26.082
Crystal system: tetragonal

=====

#two
The following is a PBE calculation of an optimized crystal structure of YErSe, from Alexandria via LeMat-Bulk.

Cell and atoms, written as POSCAR:
```
YErSe
1.0
-2.167 -2.181 2.297
3.275 -1.392 -1.439
3.225 2.243 5.170
Se Er Y
1 1 1
Direct
0.667 0.333 0.331
0.000 0.000 0.054
0.333 0.667 0.615
```

Output
Volume in A^3/atom: 27.608
Crystal system: trigonal

=====

#two takes first place; second place is 157 meV/atom up.

=====

#one
The following is a PBE calculation of an optimized crystal structure of YErSe3, from Alexandria via LeMat-Bulk.

Cell and atoms, written as POSCAR:
```
YErSe3
1.0
-0.382 1.254 -3.909
-6.170 -3.549 -0.536
-4.949 7.824 5.168
Y Er Se
2 2 6
Direct
0.657 0.992 0.314
0.343 0.492 0.686
0.158 0.492 0.316
0.842 0.992 0.684
0.908 0.322 0.817
0.408 0.829 0.815
0.592 0.329 0.185
0.750 0.659 0.500
0.250 0.159 0.500
0.092 0.822 0.183
```

Output
Volume in A^3/atom: 30.609
Crystal system: orthorhombic

=====

#two
The following is a PBE calculation of an optimized crystal structure of YErSe3, from Alexandria via LeMat-Bulk.

Cell and atoms, written as POSCAR:
```
YErSe3
1.0
6.361 0.000 3.309
2.320 5.923 3.309
0.045 0.030 7.683
Se Y Er
6 2 2
Direct
0.443 0.055 0.749
0.945 0.246 0.251
0.557 0.945 0.251
0.055 0.754 0.749
0.754 0.443 0.749
0.246 0.557 0.251
0.348 0.348 0.956
0.652 0.652 0.044
0.847 0.847 0.459
0.153 0.153 0.541
```

Output
Volume in A^3/atom: 28.818
Crystal system: trigonal

=====

#two takes first place; second place is 40 meV/atom up.

=====

#one
The following is a PBE calculation of an optimized crystal structure of YEr2Se, from Alexandria via LeMat-Bulk.

Cell and atoms, written as POSCAR:
```
YEr2Se
1.0
-3.336 -1.449 0.974
-0.351 -1.919 3.221
-3.359 6.799 5.885
Er Se Y
2 1 1
Direct
0.066 0.066 0.802
0.268 0.268 0.197
0.667 0.667 0.000
0.500 0.500 0.501
```

Output
Volume in A^3/atom: 28.695
Crystal system: trigonal

=====

#two
The following is a PBE calculation of an optimized crystal structure of YEr2Se, from Alexandria via LeMat-Bulk.

Cell and atoms, written as POSCAR:
```
YEr2Se
1.0
3.668 0.000 0.000
1.834 3.177 0.000
1.834 1.059 10.324
Er Se Y
2 1 1
Direct
0.892 0.892 0.325
0.108 0.108 0.675
0.500 0.500 0.500
0.000 0.000 0.000
```

Output
Volume in A^3/atom: 30.079
Crystal system: trigonal

=====

#one takes first place; second place is 280 meV/atom up.

=====

#one
The following is a PBE calculation of an optimized crystal structure of YEr3Se4, from Alexandria via LeMat-Bulk.

Cell and atoms, written as POSCAR:
```
YEr3Se4
1.0
-2.395 3.097 0.814
-1.572 -2.856 6.243
5.634 4.159 0.755
Se Er Y
4 3 1
Direct
0.500 0.748 0.252
0.000 0.747 0.747
0.500 0.252 0.748
0.000 0.253 0.253
0.500 0.500 0.500
0.000 0.500 0.000
0.000 0.000 0.500
0.500 0.000 0.000
```

Output
Volume in A^3/atom: 23.468
Crystal system: orthorhombic

=====

#two
The following is a PBE calculation of an optimized crystal structure of YEr3Se4, from Alexandria via LeMat-Bulk.

Cell and atoms, written as POSCAR:
```
YEr3Se4
1.0
-5.417 -1.058 -1.529
1.829 -2.183 -4.969
0.336 -5.188 2.402
Er Y Se
3 1 4
Direct
0.500 0.500 0.000
0.500 0.000 0.500
0.000 0.500 0.500
0.000 0.000 0.000
0.000 0.000 0.500
0.500 0.000 0.000
0.500 0.500 0.500
0.000 0.500 0.000
```

Output
Volume in A^3/atom: 23.486
Crystal system: cubic

=====

#one takes first place; second place is 10 meV/atom up.

=====

#one
The following is a PBE calculation of an optimized crystal structure of YEr2Se4, from Alexandria via LeMat-Bulk.

Cell and atoms, written as POSCAR:
```
YEr2Se4
1.0
7.072 0.000 4.076
2.436 6.596 3.946
0.063 0.028 8.063
Se Er Y
8 4 2
Direct
0.745 0.757 0.752
0.244 0.751 0.251
0.255 0.748 0.743
0.255 0.243 0.248
0.756 0.249 0.749
0.247 0.249 0.749
0.745 0.252 0.257
0.753 0.751 0.251
0.000 0.500 0.500
0.000 0.000 0.500
0.000 0.000 0.000
0.500 0.000 0.500
0.000 0.500 0.000
0.500 0.500 0.000
```

Output
Volume in A^3/atom: 26.705
Crystal system: orthorhombic

=====

#two
The following is a PBE calculation of an optimized crystal structure of YEr2Se4, from Alexandria via LeMat-Bulk.

Cell and atoms, written as POSCAR:
```
YEr2Se4
1.0
3.949 0.000 0.000
-1.975 6.669 0.000
0.000 0.000 13.726
Er Y Se
4 2 8
Direct
0.870 0.740 0.930
0.130 0.260 0.070
0.870 0.740 0.570
0.130 0.260 0.430
0.627 0.254 0.750
0.373 0.746 0.250
0.776 0.552 0.121
0.031 0.062 0.250
0.500 0.000 0.500
0.500 0.000 0.000
0.969 0.938 0.750
0.776 0.552 0.379
0.224 0.448 0.621
0.224 0.448 0.879
```

Output
Volume in A^3/atom: 25.825
Crystal system: orthorhombic

=====

#one takes first place; second place is 49 meV/atom up.

=====

#one
The following is a PBE calculation of an optimized crystal structure of Er2ZnSe, from Alexandria via LeMat-Bulk.

Cell and atoms, written as POSCAR:
```
Er2ZnSe
1.0
-1.731 1.122 -3.106
-0.362 -2.339 -2.881
-8.984 -3.457 1.522
Zn Se Er
1 1 2
Direct
0.000 0.000 0.000
0.500 0.500 0.500
0.896 0.896 0.311
0.104 0.104 0.689
```

Output
Volume in A^3/atom: 28.610
Crystal system: trigonal

=====

#two
The following is a PBE calculation of an optimized crystal structure of Er2ZnSe, from Alexandria via LeMat-Bulk.

Cell and atoms, written as POSCAR:
```
Er2ZnSe
1.0
-1.072 3.506 -1.049
-3.691 0.958 0.043
-0.882 3.882 6.947
Se Er Zn
1 2 1
Direct
0.499 0.499 0.503
0.084 0.084 0.749
0.250 0.250 0.251
0.667 0.667 0.998
```

Output
Volume in A^3/atom: 24.240
Crystal system: trigonal

=====

#three
The following is a PBE calculation of an optimized crystal structure of Er2ZnSe, from Alexandria via LeMat-Bulk.

Cell and atoms, written as POSCAR:
```
Er2ZnSe
1.0
4.150 0.000 0.000
0.000 3.927 -0.698
0.000 0.001 11.411
Er Zn Se
4 2 2
Direct
0.750 0.932 0.864
0.750 0.678 0.357
0.250 0.068 0.136
0.250 0.322 0.643
0.750 0.539 0.079
0.250 0.461 0.921
0.750 0.806 0.611
0.250 0.194 0.389
```

Output
Volume in A^3/atom: 23.246
Crystal system: orthorhombic

=====

#three takes first place; second place is 138 meV/atom up.

=====

#one
The following is a PBE calculation of an optimized crystal structure of ErZrSe2, from Alexandria via LeMat-Bulk.

Cell and atoms, written as POSCAR:
```
ErZrSe2
1.0
-2.475 -2.760 -0.161
0.348 -2.656 -2.567
3.389 -5.750 3.728
Er Se Zr
1 2 1
Direct
0.667 0.667 0.000
0.087 0.087 0.739
0.247 0.247 0.259
0.500 0.500 0.501
```

Output
Volume in A^3/atom: 21.873
Crystal system: trigonal

=====

#two
The following is a PBE calculation of an optimized crystal structure of ErZrSe2, from Alexandria via LeMat-Bulk.

Cell and atoms, written as POSCAR:
```
ErZrSe2
1.0
-2.023 1.263 -2.875
0.962 -0.895 -3.496
-5.522 -7.155 -1.683
Er Se Zr
1 2 1
Direct
0.000 0.000 0.000
0.104 0.104 0.687
0.896 0.896 0.313
0.500 0.500 0.500
```

Output
Volume in A^3/atom: 26.993
Crystal system: trigonal

=====

#one takes first place; second place is 350 meV/atom up.

=====

#one
The following is a PBE calculation of an optimized crystal structure of ErZrSe, from Alexandria via LeMat-Bulk.

Cell and atoms, written as POSCAR:
```
ErZrSe
1.0
-0.036 3.361 -1.662
-4.654 0.258 0.621
2.909 1.663 3.300
Zr Se Er
1 1 1
Direct
0.167 0.333 0.667
0.166 0.000 0.000
0.667 0.667 0.333
```

Output
Volume in A^3/atom: 23.939
Crystal system: hexagonal

=====

#two
The following is a PBE calculation of an optimized crystal structure of ErZrSe, from Alexandria via LeMat-Bulk.

Cell and atoms, written as POSCAR:
```
ErZrSe
1.0
5.154 0.000 0.000
0.000 3.529 0.000
-2.577 -1.765 8.020
Zr Se Er
2 2 2
Direct
0.253 0.500 0.000
0.747 0.500 0.000
0.840 0.340 0.680
0.160 0.660 0.320
0.334 0.834 0.668
0.666 0.166 0.332
```

Output
Volume in A^3/atom: 24.315
Crystal system: orthorhombic

=====

#two takes first place; second place is 156 meV/atom up.

=====

#one
The following is a PBE calculation of an optimized crystal structure of SmErSi2, from Alexandria via LeMat-Bulk.

Cell and atoms, written as POSCAR:
```
SmErSi2
1.0
4.321 0.000 -0.029
0.000 3.856 0.000
-2.124 0.000 5.326
Sm Si Er
1 2 1
Direct
0.724 0.000 0.987
0.157 0.500 0.853
0.006 0.000 0.552
0.444 0.500 0.426
```

Output
Volume in A^3/atom: 22.128
Crystal system: orthorhombic

=====

#two
The following is a PBE calculation of an optimized crystal structure of SmErSi2, from Alexandria via LeMat-Bulk.

Cell and atoms, written as POSCAR:
```
SmErSi2
1.0
-1.256 0.267 4.420
2.727 -1.736 3.277
2.888 4.047 2.973
Si Sm Er
2 1 1
Direct
0.743 0.743 0.771
0.257 0.257 0.229
0.500 0.500 0.500
0.000 0.000 0.000
```

Output
Volume in A^3/atom: 23.616
Crystal system: trigonal

=====

#one takes first place; second place is 299 meV/atom up.

=====

#one
The following is a PBE calculation of an optimized crystal structure of SmErZnSi, from Alexandria via LeMat-Bulk.

Cell and atoms, written as POSCAR:
```
SmErZnSi
1.0
-3.085 3.783 -1.116
-4.944 -0.775 -0.197
-2.980 1.927 3.534
Er Si Zn Sm
1 1 1 1
Direct
0.250 0.250 0.250
0.500 0.500 0.500
0.000 0.000 0.000
0.750 0.750 0.750
```

Output
Volume in A^3/atom: 22.204
Crystal system: cubic

=====

#two
The following is a PBE calculation of an optimized crystal structure of SmErZnSi, from Alexandria via LeMat-Bulk.

Cell and atoms, written as POSCAR:
```
SmErZnSi
1.0
4.192 0.000 0.000
0.000 4.064 0.000
-2.096 0.000 5.481
Sm Er Zn Si
1 1 1 1
Direct
0.145 0.000 0.291
0.861 0.500 0.722
0.568 0.500 0.135
0.426 0.000 0.852
```

Output
Volume in A^3/atom: 23.341
Crystal system: orthorhombic

=====

#two takes first place; second place is 103 meV/atom up.

=====

#one
The following is a PBE calculation of an optimized crystal structure of TbErSi2, from Alexandria via LeMat-Bulk.

Cell and atoms, written as POSCAR:
```
TbErSi2
1.0
4.571 0.000 0.000
2.285 3.958 0.000
2.285 1.319 5.061
Tb Si Er
1 2 1
Direct
0.000 0.000 0.000
0.753 0.753 0.741
0.247 0.247 0.259
0.500 0.500 0.500
```

Output
Volume in A^3/atom: 22.894
Crystal system: trigonal

=====

#two
The following is a PBE calculation of an optimized crystal structure of TbErSi2, from Alexandria via LeMat-Bulk.

Cell and atoms, written as POSCAR:
```
TbErSi2
1.0
4.271 0.000 -0.029
0.000 3.829 0.000
-2.099 0.000 5.272
Er Si Tb
1 2 1
Direct
0.443 0.500 0.425
0.006 0.000 0.551
0.159 0.500 0.857
0.723 0.000 0.985
```

Output
Volume in A^3/atom: 21.493
Crystal system: orthorhombic

=====

#two takes first place; second place is 307 meV/atom up.

=====

#one
The following is a PBE calculation of an optimized crystal structure of TbEr2Si2, from Alexandria via LeMat-Bulk.

Cell and atoms, written as POSCAR:
```
TbEr2Si2
1.0
-3.250 1.963 1.702
-3.995 -1.239 -6.199
-2.417 -6.476 2.852
Si Er Tb
4 4 2
Direct
0.500 0.616 0.616
0.500 0.884 0.116
0.500 0.116 0.884
0.500 0.384 0.384
0.000 0.324 0.676
0.000 0.824 0.824
0.000 0.176 0.176
0.000 0.676 0.324
0.500 0.000 0.500
0.500 0.500 0.000
```

Output
Volume in A^3/atom: 23.267
Crystal system: tetragonal

=====

#two
The following is a PBE calculation of an optimized crystal structure of TbEr2Si2, from Alexandria via LeMat-Bulk.

Cell and atoms, written as POSCAR:
```
TbEr2Si2
1.0
4.333 0.000 0.000
2.167 6.049 0.143
2.167 1.152 9.065
Er Si Tb
4 4 2
Direct
0.484 0.346 0.686
0.313 0.288 0.086
0.687 0.712 0.914
0.516 0.654 0.314
0.112 0.337 0.438
0.966 0.166 0.901
0.888 0.663 0.562
0.034 0.834 0.099
0.217 0.919 0.647
0.783 0.081 0.353
```

Output
Volume in A^3/atom: 23.686
Crystal system: monoclinic

=====

#one takes first place; second place is 107 meV/atom up.

=====

#one
The following is a PBE calculation of an optimized crystal structure of Tb2ErSi, from Alexandria via LeMat-Bulk.

Cell and atoms, written as POSCAR:
```
Tb2ErSi
1.0
3.578 0.000 0.000
1.789 3.098 0.000
1.789 1.033 10.757
Er Si Tb
1 1 2
Direct
0.000 0.000 0.000
0.500 0.500 0.500
0.894 0.894 0.318
0.106 0.106 0.682
```

Output
Volume in A^3/atom: 29.808
Crystal system: trigonal

=====

#two
The following is a PBE calculation of an optimized crystal structure of Tb2ErSi, from Alexandria via LeMat-Bulk.

Cell and atoms, written as POSCAR:
```
Tb2ErSi
1.0
4.627 0.000 0.000
0.000 4.627 0.000
0.000 0.000 4.627
Tb Si Er
2 1 1
Direct
0.000 0.500 0.000
0.000 0.000 0.500
0.500 0.500 0.500
0.500 0.000 0.000
```

Output
Volume in A^3/atom: 24.760
Crystal system: tetragonal

=====

#two takes first place; second place is 296 meV/atom up.